Entry from Alexandria via LeMat-Bulk: an optimized crystal structure of Sr2AgMoC (GGA-PBE).

Properties
Calculated volume = 126.2 Å³/f.u.
Final energy = -4.9118 eV per atom

```
5
Lattice="-3.390 -3.101 3.135 2.933 -2.811 0.391 1.862 2.578 4.563" Properties=species:S:1:pos:R:3 pbc="T T T"
Sr 0.931 1.289 2.281
Sr -1.695 -1.550 1.567
Mo 1.466 -1.405 0.196
Ag 0.702 -1.667 4.044
C 0.000 0.000 0.000
```


Entry from Alexandria via LeMat-Bulk: an optimized crystal structure of SrAg2MoC (GGA-PBE).

Properties
Calculated volume = 154.2 Å³/f.u.
Final energy = -3.0173 eV per atom

```
5
Lattice="5.026 0.000 0.000 0.000 6.104 0.000 0.000 0.000 5.026" Properties=species:S:1:pos:R:3 pbc="T T T"
Sr 0.000 3.052 0.000
C 2.513 3.052 2.513
Mo 0.000 0.000 0.000
Ag 0.000 0.000 2.513
Ag 2.513 0.000 0.000
```


Entry from Alexandria via LeMat-Bulk: an optimized crystal structure of TcAg2MoC (GGA-PBE).

Properties
Calculated volume = 75.9 Å³/f.u.
Final energy = -6.1498 eV per atom

```
5
Lattice="-2.619 -2.098 -2.614 1.497 -3.648 1.429 -2.989 -0.041 3.027" Properties=species:S:1:pos:R:3 pbc="T T T"
Tc -2.055 -2.894 0.921
C 0.000 0.000 0.000
Ag -1.309 -1.049 -1.307
Ag -1.494 -0.020 1.513
Mo 0.748 -1.824 0.715
```


Entry from Alexandria via LeMat-Bulk: an optimized crystal structure of AgTeMo2C (GGA-PBE).

Properties
Calculated volume = 100.0 Å³/f.u.
Final energy = -5.2581 eV per atom
ΔE_f (raw) = 2118 meV per atom

```
5
Lattice="5.156 0.000 0.000 0.000 5.156 0.000 0.000 0.000 3.760" Properties=species:S:1:pos:R:3 pbc="T T T"
Mo 2.578 0.000 0.000
Mo 0.000 2.578 0.000
Ag 0.000 0.000 0.000
C 0.000 0.000 1.880
Te 2.578 2.578 1.880
```


Entry from Alexandria via LeMat-Bulk: an optimized crystal structure of VAgMo2C (GGA-PBE).

Properties
Calculated volume = 94.7 Å³/f.u.
Final energy = -6.0086 eV per atom

```
5
Lattice="4.419 0.000 0.000 0.000 4.853 0.000 0.000 0.000 4.419" Properties=species:S:1:pos:R:3 pbc="T T T"
Ag 0.000 2.426 0.000
C 2.209 2.426 2.209
Mo 0.000 0.000 2.209
Mo 2.209 0.000 0.000
V 0.000 0.000 0.000
```


Entry from Alexandria via LeMat-Bulk: an optimized crystal structure of Y2AgMoC (GGA-PBE).

Properties
Calculated volume = 101.2 Å³/f.u.
Final energy = -7.2789 eV per atom

```
5
Lattice="-4.957 -0.112 0.532 0.544 -0.955 4.864 -0.006 3.993 0.785" Properties=species:S:1:pos:R:3 pbc="T T T"
Y -2.479 -0.056 0.266
Y 0.272 -0.478 2.432
C 0.000 0.000 0.000
Ag -2.210 1.463 3.090
Mo -0.003 1.997 0.392
```


Entry from Alexandria via LeMat-Bulk: an optimized crystal structure of YAg2MoC (GGA-PBE).

Properties
Calculated volume = 142.8 Å³/f.u.
Final energy = -3.5325 eV per atom

```
5
Lattice="5.379 0.000 0.000 0.000 4.936 0.000 0.000 0.000 5.379" Properties=species:S:1:pos:R:3 pbc="T T T"
Y 0.000 0.000 0.000
Mo 0.000 2.468 0.000
C 2.689 2.468 2.689
Ag 2.689 0.000 0.000
Ag 0.000 0.000 2.689
```


Entry from Alexandria via LeMat-Bulk: an optimized crystal structure of AgCN2 (GGA-PBE).

Properties
Calculated volume = 35.2 Å³/f.u.
Final energy = -6.1031 eV per atom
ΔE_f (raw) = 1078 meV per atom

```
8
Lattice="4.596 0.000 0.000 0.000 4.596 0.000 2.298 2.298 3.338" Properties=species:S:1:pos:R:3 pbc="T T T"
N 1.738 3.447 0.834
N 3.447 4.036 2.503
N 2.858 1.149 0.834
N 5.745 5.155 2.503
C 2.298 2.298 0.000
C 2.298 4.596 1.669
Ag 0.000 0.000 0.000
Ag 4.596 2.298 1.669
```